The following is a DFT calculation (PBE) of a geometry-optimized TlGeSe3 structure.

Lattice parameters (Å, degrees): 3.6779 13.4674 5.9484 87.47 108.01 90.00
Last column: nearest neighbours and their distance in Å.
Atoms (fractional coordinates):
Tl (0.8671, 0.1121, 0.7342)  4 Se 3.09-3.30
Tl (0.1329, 0.8879, 0.2658)  4 Se 3.09-3.30
Ge (0.5923, 0.2853, 0.1845)  5 Se 2.42-2.59
Ge (0.4077, 0.7147, 0.8155)  5 Se 2.42-2.59
Se (0.9450, 0.3455, 0.8901)  2 Ge 2.59
Se (0.0550, 0.6545, 0.1099)  2 Ge 2.59
Se (0.4136, 0.8942, 0.8271)  1 Ge 2.42
Se (0.5864, 0.1058, 0.1729)  1 Ge 2.42
Se (0.2368, 0.3374, 0.4736)  2 Ge 2.58
Se (0.7632, 0.6626, 0.5264)  2 Ge 2.58

Summary:
SG	No. 12
DOS(E_F)	2.0	states/eV/f.u.

The following is a DFT calculation (PBE) of a geometry-optimized Tl3Ge5Se12 structure.

Lattice parameters (Å, degrees): 14.1646 14.1646 14.1646 109.47 109.47 109.47
Last column: nearest neighbours and their distance in Å.
Atoms (fractional coordinates):
Tl (0.7500, 0.3750, 0.1250)  8 Se 3.19-3.20
Tl (0.8750, 0.7500, 0.1250)  8 Se 3.19-3.20
Tl (0.3750, 0.7500, 0.6250)  8 Se 3.19-3.20
Tl (0.2500, 0.1250, 0.3750)  8 Se 3.19-3.20
Tl (0.8750, 0.1250, 0.2500)  8 Se 3.19-3.20
Tl (0.3750, 0.6250, 0.2500)  8 Se 3.19-3.20
Tl (0.6250, 0.3750, 0.7500)  8 Se 3.19-3.20
Tl (0.1250, 0.8750, 0.7500)  8 Se 3.19-3.20
Tl (0.7500, 0.8750, 0.6250)  8 Se 3.19-3.20
Tl (0.6250, 0.2500, 0.3750)  8 Se 3.19-3.20
Tl (0.1250, 0.2500, 0.8750)  8 Se 3.19-3.20
Tl (0.2500, 0.6250, 0.8750)  8 Se 3.19-3.20
Ge (0.1250, 0.3750, 0.2500)  4 Se 2.43
Ge (0.0000, 0.5000, 0.0000)  6 Se 2.69
Ge (0.0000, 0.0000, 0.0000)  6 Se 2.69
Ge (0.3750, 0.2500, 0.1250)  4 Se 2.43
Ge (0.5000, 0.0000, 0.5000)  6 Se 2.69
Ge (0.5000, 0.5000, 0.0000)  6 Se 2.69
Ge (0.1250, 0.7500, 0.3750)  4 Se 2.43
Ge (0.7500, 0.1250, 0.8750)  4 Se 2.43
Ge (0.7500, 0.6250, 0.3750)  4 Se 2.43
Ge (0.3750, 0.1250, 0.7500)  4 Se 2.43
Ge (0.6250, 0.8750, 0.2500)  4 Se 2.43
Ge (0.5000, 0.5000, 0.5000)  6 Se 2.69
Ge (0.5000, 0.0000, 0.0000)  6 Se 2.69
Ge (0.0000, 0.0000, 0.5000)  6 Se 2.69
Ge (0.2500, 0.3750, 0.6250)  4 Se 2.43
Ge (0.2500, 0.8750, 0.1250)  4 Se 2.43
Ge (0.0000, 0.5000, 0.5000)  6 Se 2.69
Ge (0.8750, 0.2500, 0.6250)  4 Se 2.43
Ge (0.6250, 0.7500, 0.8750)  4 Se 2.43
Ge (0.8750, 0.6250, 0.7500)  4 Se 2.43
Se (0.7090, 0.1173, 0.0264)  2 Ge 2.43-2.69
Se (0.3174, 0.5264, 0.4091)  2 Ge 2.43-2.69
Se (0.9736, 0.3827, 0.2910)  2 Ge 2.43-2.69
Se (0.5264, 0.2090, 0.1173)  2 Ge 2.43-2.69
Se (0.5917, 0.7090, 0.6826)  2 Ge 2.43-2.69
Se (0.9736, 0.5909, 0.1826)  2 Ge 2.43-2.69
Se (0.3174, 0.7910, 0.4083)  2 Ge 2.43-2.69
Se (0.0909, 0.9083, 0.1173)  2 Ge 2.43-2.69
Se (0.5909, 0.9736, 0.6826)  2 Ge 2.43-2.69
Se (0.7090, 0.5917, 0.1826)  2 Ge 2.43-2.69
Se (0.7910, 0.4736, 0.3827)  2 Ge 2.43-2.69
Se (0.8174, 0.9091, 0.0264)  2 Ge 2.43-2.69
Se (0.1173, 0.7090, 0.5264)  2 Ge 2.43-2.69
Se (0.3827, 0.4091, 0.0917)  2 Ge 2.43-2.69
Se (0.0917, 0.9091, 0.3827)  2 Ge 2.43-2.69
Se (0.4083, 0.1173, 0.5909)  2 Ge 2.43-2.69
Se (0.0917, 0.1826, 0.2090)  2 Ge 2.43-2.69
Se (0.4736, 0.6826, 0.0909)  2 Ge 2.43-2.69
Se (0.8174, 0.9083, 0.2910)  2 Ge 2.43-2.69
Se (0.1173, 0.4083, 0.0909)  2 Ge 2.43-2.69
Se (0.3827, 0.9736, 0.7910)  2 Ge 2.43-2.69
Se (0.5909, 0.6173, 0.4083)  2 Ge 2.43-2.69
Se (0.9091, 0.8174, 0.5264)  2 Ge 2.43-2.69
Se (0.7910, 0.3174, 0.9083)  2 Ge 2.43-2.69
Se (0.4091, 0.3827, 0.5917)  2 Ge 2.43-2.69
Se (0.0909, 0.1826, 0.4736)  2 Ge 2.43-2.69
Se (0.2090, 0.6826, 0.0917)  2 Ge 2.43-2.69
Se (0.1826, 0.0917, 0.7090)  2 Ge 2.43-2.69
Se (0.6173, 0.0264, 0.2090)  2 Ge 2.43-2.69
Se (0.8827, 0.5917, 0.9091)  2 Ge 2.43-2.69
Se (0.5264, 0.3174, 0.9091)  2 Ge 2.43-2.69
Se (0.5917, 0.8827, 0.4091)  2 Ge 2.43-2.69
Se (0.9083, 0.8174, 0.7910)  2 Ge 2.43-2.69
Se (0.9083, 0.0909, 0.6173)  2 Ge 2.43-2.69
Se (0.8827, 0.2910, 0.4736)  2 Ge 2.43-2.69
Se (0.1826, 0.0909, 0.9736)  2 Ge 2.43-2.69
Se (0.6173, 0.5909, 0.9083)  2 Ge 2.43-2.69
Se (0.4091, 0.0264, 0.3174)  2 Ge 2.43-2.69
Se (0.2910, 0.4083, 0.8174)  2 Ge 2.43-2.69
Se (0.2090, 0.5264, 0.6173)  2 Ge 2.43-2.69
Se (0.9091, 0.0917, 0.8827)  2 Ge 2.43-2.69
Se (0.6826, 0.2090, 0.5917)  2 Ge 2.43-2.69
Se (0.4736, 0.7910, 0.8827)  2 Ge 2.43-2.69
Se (0.0264, 0.4091, 0.8174)  2 Ge 2.43-2.69
Se (0.4083, 0.2910, 0.3174)  2 Ge 2.43-2.69
Se (0.0264, 0.6173, 0.7090)  2 Ge 2.43-2.69
Se (0.6826, 0.4736, 0.5909)  2 Ge 2.43-2.69
Se (0.2910, 0.8827, 0.9736)  2 Ge 2.43-2.69

Summary:
SG	No. 230
DOS(E_F)	16.6	states/eV/f.u.

The following is a DFT calculation (PBE) of a geometry-optimized TlGeSe3 structure.

Lattice parameters (Å, degrees): 5.3370 5.3370 5.3370 90.00 90.00 90.00
Last column: nearest neighbours and their distance in Å.
Atoms (fractional coordinates):
Tl (0.0000, 0.0000, 0.0000)  6 Se 2.67
Ge (0.5000, 0.5000, 0.5000)  12 Se 3.77
Se (0.0000, 0.5000, 0.0000)  2 Tl 2.67
Se (0.0000, 0.0000, 0.5000)  2 Tl 2.67
Se (0.5000, 0.0000, 0.0000)  2 Tl 2.67

Summary:
SG	No. 221
DOS(E_F)	3.8	states/eV/f.u.

The following is a DFT calculation (PBE) of a geometry-optimized Tl3Ge2Se4 structure.

Lattice parameters (Å, degrees): 8.4721 8.3620 8.3620 81.30 82.27 82.27
Last column: nearest neighbours and their distance in Å.
Atoms (fractional coordinates):
Tl (0.8725, 0.0150, 0.2711)  6 Se 3.32-3.62, 2 Ge 3.52-3.65
Tl (0.6275, 0.7289, 0.9850)  6 Se 3.32-3.62, 2 Ge 3.52-3.65
Tl (0.1275, 0.9850, 0.7289)  6 Se 3.32-3.62, 2 Ge 3.52-3.65
Tl (0.3725, 0.2711, 0.0150)  6 Se 3.32-3.62, 2 Ge 3.52-3.65
Tl (0.2500, 0.6326, 0.3674)  6 Se 3.30-3.46
Tl (0.7500, 0.3674, 0.6326)  6 Se 3.30-3.46
Ge (0.4163, 0.1928, 0.4330)  4 Se 2.53-2.67
Ge (0.0837, 0.5670, 0.8072)  4 Se 2.53-2.67
Ge (0.5837, 0.8072, 0.5670)  4 Se 2.53-2.67
Ge (0.9163, 0.4330, 0.1928)  4 Se 2.53-2.67
Se (0.4900, 0.9458, 0.2862)  2 Ge 2.53-2.63
Se (0.0100, 0.7138, 0.0542)  2 Ge 2.53-2.63
Se (0.5100, 0.0542, 0.7138)  2 Ge 2.53-2.63
Se (0.9900, 0.2862, 0.9458)  2 Ge 2.53-2.63
Se (0.1079, 0.2801, 0.3924)  2 Ge 2.57-2.67
Se (0.3921, 0.6076, 0.7199)  2 Ge 2.57-2.67
Se (0.8921, 0.7199, 0.6076)  2 Ge 2.57-2.67
Se (0.6079, 0.3924, 0.2801)  2 Ge 2.57-2.67

Summary:
SG	No. 15
DOS(E_F)	2.2	states/eV/f.u.

The following is a DFT calculation (PBE) of a geometry-optimized Tl5GeSe4 structure.

Lattice parameters (Å, degrees): 8.4470 9.8427 8.4252 90.00 90.00 90.00
Last column: nearest neighbours and their distance in Å.
Atoms (fractional coordinates):
Tl (0.7367, 0.1913, 0.2182)  3 Se 3.11-3.28
Tl (0.7367, 0.1913, 0.7818)  3 Se 3.11-3.28
Tl (0.1127, 0.0000, 0.5000)  4 Se 3.16-3.24
Tl (0.7367, 0.8087, 0.2182)  3 Se 3.11-3.28
Tl (0.7367, 0.8087, 0.7818)  3 Se 3.11-3.28
Tl (0.2633, 0.6913, 0.2818)  3 Se 3.11-3.28
Tl (0.2633, 0.6913, 0.7182)  3 Se 3.11-3.28
Tl (0.8873, 0.5000, 0.0000)  4 Se 3.16-3.24
Tl (0.2633, 0.3087, 0.7182)  3 Se 3.11-3.28
Tl (0.2633, 0.3087, 0.2818)  3 Se 3.11-3.28
Ge (0.2273, 0.0000, 0.0000)  4 Se 2.46-2.48
Ge (0.7727, 0.5000, 0.5000)  4 Se 2.46-2.48
Se (0.0573, 0.2055, 0.0000)  1 Ge 2.48
Se (0.3869, 0.0000, 0.2448)  1 Ge 2.46
Se (0.3869, 0.0000, 0.7552)  1 Ge 2.46
Se (0.0573, 0.7945, 0.0000)  1 Ge 2.48
Se (0.9427, 0.7055, 0.5000)  1 Ge 2.48
Se (0.6131, 0.5000, 0.2552)  1 Ge 2.46
Se (0.6131, 0.5000, 0.7448)  1 Ge 2.46
Se (0.9427, 0.2945, 0.5000)  1 Ge 2.48

Summary:
SG	No. 59
DOS(E_F)	2.7	states/eV/f.u.

The following is a DFT calculation (PBE) of a geometry-optimized TlGe3Se structure.

Lattice parameters (Å, degrees): 5.2230 5.2230 5.2230 90.00 90.00 90.00
Last column: nearest neighbours and their distance in Å.
Atoms (fractional coordinates):
Tl (0.5000, 0.5000, 0.5000)  12 Ge 3.69
Ge (0.0000, 0.5000, 0.0000)  2 Se 2.61
Ge (0.0000, 0.0000, 0.5000)  2 Se 2.61
Ge (0.5000, 0.0000, 0.0000)  2 Se 2.61
Se (0.0000, 0.0000, 0.0000)  6 Ge 2.61

Summary:
SG	No. 221
DOS(E_F)	2.7	states/eV/f.u.

The following is a DFT calculation (PBE) of a geometry-optimized Tl4GeSe4 structure.

Lattice parameters (Å, degrees): 7.1661 7.1661 25.2347 81.32 81.32 63.18
Last column: nearest neighbours and their distance in Å.
Atoms (fractional coordinates):
Tl (0.3507, 0.2770, 0.5002)  4 Se 3.16-3.31
Tl (0.7230, 0.6493, 0.9998)  4 Se 3.16-3.31
Tl (0.6493, 0.7230, 0.4998)  4 Se 3.16-3.31
Tl (0.2770, 0.3507, 0.0002)  4 Se 3.16-3.31
Tl (0.9030, 0.3162, 0.6747)  4 Se 3.08-3.43
Tl (0.6838, 0.0970, 0.8253)  4 Se 3.08-3.43
Tl (0.0970, 0.6838, 0.3253)  4 Se 3.08-3.43
Tl (0.3162, 0.9030, 0.1747)  4 Se 3.08-3.43
Tl (0.0537, 0.3433, 0.8365)  5 Se 3.18-3.41
Tl (0.6567, 0.9463, 0.6635)  5 Se 3.18-3.41
Tl (0.9463, 0.6567, 0.1635)  5 Se 3.18-3.41
Tl (0.3433, 0.0537, 0.3365)  5 Se 3.18-3.41
Tl (0.0000, 0.0000, 0.5000)  4 Se 3.24-3.30
Tl (0.0000, 0.0000, 0.0000)  4 Se 3.24-3.30
Tl (0.1786, 0.8214, 0.7500)  4 Se 3.06-3.36
Tl (0.8214, 0.1786, 0.2500)  4 Se 3.06-3.36
Ge (0.3098, 0.5601, 0.6239)  4 Se 2.39-2.42
Ge (0.4399, 0.6902, 0.8761)  4 Se 2.39-2.42
Ge (0.6902, 0.4399, 0.3761)  4 Se 2.39-2.42
Ge (0.5601, 0.3098, 0.1239)  4 Se 2.39-2.42
Se (0.0190, 0.5876, 0.5818)  1 Ge 2.40
Se (0.4124, 0.9810, 0.9182)  1 Ge 2.40
Se (0.9810, 0.4124, 0.4182)  1 Ge 2.40
Se (0.5876, 0.0190, 0.0818)  1 Ge 2.40
Se (0.6340, 0.3334, 0.5759)  1 Ge 2.42
Se (0.6666, 0.3660, 0.9241)  1 Ge 2.42
Se (0.3660, 0.6666, 0.4241)  1 Ge 2.42
Se (0.3334, 0.6340, 0.0759)  1 Ge 2.42
Se (0.0942, 0.7103, 0.8829)  1 Ge 2.40
Se (0.2897, 0.9058, 0.6171)  1 Ge 2.40
Se (0.9058, 0.2897, 0.1171)  1 Ge 2.40
Se (0.7103, 0.0942, 0.3829)  1 Ge 2.40
Se (0.3026, 0.3905, 0.7127)  1 Ge 2.39
Se (0.6095, 0.6974, 0.7873)  1 Ge 2.39
Se (0.6974, 0.6095, 0.2873)  1 Ge 2.39
Se (0.3905, 0.3026, 0.2127)  1 Ge 2.39

Summary:
SG	No. 15

The following is a DFT calculation (PBE) of a geometry-optimized Tl2Ge3Se8 structure.

Lattice parameters (Å, degrees): 6.6652 7.9526 8.9364 116.42 121.43 90.00
Last column: nearest neighbours and their distance in Å.
Atoms (fractional coordinates):
Tl (0.2601, 0.3334, 0.6667)  4 Se 2.71-2.85
Tl (0.7399, 0.6666, 0.3333)  4 Se 2.71-2.85
Ge (0.5000, 0.0000, 0.0000)  6 Se 2.61
Ge (0.0000, 0.2637, 0.0000)  6 Se 2.62-2.84
Ge (0.0000, 0.7363, 0.0000)  6 Se 2.62-2.84
Se (0.0931, 0.6325, 0.2651)  2 Ge 2.62, 1 Tl 2.71
Se (0.9069, 0.3675, 0.7349)  2 Ge 2.62, 1 Tl 2.71
Se (0.9812, 0.1149, 0.2297)  3 Ge 2.61-2.84, 1 Tl 2.85
Se (0.0188, 0.8851, 0.7703)  3 Ge 2.61-2.84, 1 Tl 2.85
Se (0.5182, 0.6702, 0.7585)  2 Ge 2.61-2.65, 1 Tl 2.72
Se (0.5182, 0.0883, 0.7585)  2 Ge 2.61-2.65, 1 Tl 2.72
Se (0.4818, 0.9117, 0.2415)  2 Ge 2.61-2.65, 1 Tl 2.72
Se (0.4818, 0.3298, 0.2415)  2 Ge 2.61-2.65, 1 Tl 2.72

Summary:
SG	No. 12
DOS(E_F)	5.7	states/eV/f.u.

Across the entries above, DFT total energy takes the values -36.25 -296.56 -14.02 -65.52 -67.06 -16.89 -126.49 -47.72 eV/cell, respectively.